(1)
## Fe2I2Br7 (PBE)

Data for a geometry-optimized Fe2I2Br7 structure.

The value obtained for the total moment is 9.0 μB per cell. As for the formation energy from raw total energies: -3.0 eV/f.u.

abc: 8.3980 8.3980 9.2654
angles: 113.40 113.40 87.05
Positions (direct):
Fe 0.2423 0.2423 0.1856
Fe 0.7577 0.7577 0.8144
I 0.1168 0.8832 0.5000
I 0.8832 0.1168 0.5000
Br 0.0000 0.0000 0.0000
Br 0.1346 0.4583 0.3612
Br 0.3292 0.3292 0.0197
Br 0.4583 0.1346 0.3612
Br 0.5417 0.8654 0.6388
Br 0.6708 0.6708 0.9803
Br 0.8654 0.5417 0.6388

(2)
## CaMn3Tc (PBE)

Data for a geometry-optimized CaMn3Tc structure.

The value obtained for the total moment is 1.7 μB per cell. The formation energy is 12.7 eV per formula unit.

abc: 4.2012 4.2012 4.2012
angles: 90.00 90.00 90.00
Positions (direct):
Ca 0.0000 0.0000 0.0000
Mn 0.0000 0.0000 0.5000
Mn 0.0000 0.5000 0.0000
Mn 0.5000 0.0000 0.0000
Tc 0.5000 0.5000 0.5000

(3)
## Sc2BeC2 (PBE)

Data for a geometry-optimized Sc2BeC2 structure.

The value obtained for the total moment is 0.0 μB per cell. The formation energy is 3.3 eV per formula unit.

abc: 6.6216 6.6216 2.8426
angles: 90.00 90.00 90.00
Positions (direct):
Sc 0.1432 0.3568 0.0000
Sc 0.3568 0.8568 0.0000
Sc 0.6432 0.1432 0.0000
Sc 0.8568 0.6432 0.0000
Be 0.0000 0.0000 0.0000
Be 0.5000 0.5000 0.0000
C 0.1708 0.6708 0.5000
C 0.3292 0.1708 0.5000
C 0.6708 0.8292 0.5000
C 0.8292 0.3292 0.5000

(4)
## Ho5Ir2Pb2 (PBE)

Data for a geometry-optimized Ho5Ir2Pb2 structure.

The value obtained for the total moment is 0.0 μB per cell. The formation energy is -6.0 eV per formula unit.

abc: 8.8666 8.8666 7.2573
angles: 90.00 90.00 55.96
Positions (direct):
Ho 0.0000 0.0000 0.0000
Ho 0.0599 0.7076 0.6528
Ho 0.2076 0.5599 0.1528
Ho 0.2924 0.9401 0.6528
Ho 0.4401 0.7924 0.1528
Ho 0.5000 0.5000 0.5000
Ho 0.5599 0.2076 0.8472
Ho 0.7076 0.0599 0.3472
Ho 0.7924 0.4401 0.8472
Ho 0.9401 0.2924 0.3472
Ir 0.1278 0.8722 0.3616
Ir 0.3722 0.6278 0.8616
Ir 0.6278 0.3722 0.1384
Ir 0.8722 0.1278 0.6384
Pb 0.2150 0.2150 0.0000
Pb 0.2850 0.2850 0.5000
Pb 0.7150 0.7150 0.5000
Pb 0.7850 0.7850 0.0000

(5)
## K2MgTc (PBE)

Data for a geometry-optimized K2MgTc structure.

The value obtained for the total moment is 2.2 μB per cell. The formation energy is 4.5 eV per formula unit.

abc: 3.6445 5.1434 6.0219
angles: 90.00 90.00 90.00
Positions (direct):
K 0.0000 0.0000 0.0000
K 0.5000 0.5000 0.0000
Mg 0.0000 0.5000 0.5000
Tc 0.5000 0.0000 0.5000

(6)
## NdY2ThBi5 (PBE)

Data for a geometry-optimized NdY2ThBi5 structure.

The value obtained for the total moment is 0.0 μB per cell. The formation energy is 1.5 eV per formula unit.

abc: 5.7159 5.7159 12.1012
angles: 90.00 90.00 90.00
Positions (direct):
Nd 0.0000 0.0000 0.0000
Y 0.5000 0.5000 0.2641
Y 0.5000 0.5000 0.7359
Th 0.0000 0.0000 0.5000
Bi 0.0000 0.0000 0.2451
Bi 0.0000 0.0000 0.7549
Bi 0.0000 0.5000 0.5000
Bi 0.5000 0.0000 0.5000
Bi 0.5000 0.5000 0.0000

(7)
## Li3Cl2F (PBE)

Data for a geometry-optimized Li3Cl2F structure.

The value obtained for the total moment is 0.0 μB per cell. As for the formation energy from raw total energies: -12.7 eV/f.u.

abc: 5.8753 5.8753 5.6983
angles: 90.00 90.00 65.24
Positions (direct):
Li 0.1060 0.8940 0.7500
Li 0.3572 0.3572 0.0000
Li 0.3572 0.3572 0.5000
Li 0.6428 0.6428 0.0000
Li 0.6428 0.6428 0.5000
Li 0.8940 0.1060 0.2500
Cl 0.0077 0.3305 0.7500
Cl 0.3305 0.0077 0.2500
Cl 0.6695 0.9923 0.7500
Cl 0.9923 0.6695 0.2500
F 0.4016 0.5984 0.7500
F 0.5984 0.4016 0.2500

(8)
## BaNb2F (PBE)

Data for a geometry-optimized BaNb2F structure.

The value obtained for the total moment is 0.0 μB per cell. As for the formation energy from raw total energies: 4.2 eV/f.u.

abc: 4.8053 4.8053 4.8053
angles: 60.00 60.00 60.00
Positions (direct):
Ba 0.0000 0.0000 0.0000
Nb 0.2500 0.2500 0.2500
Nb 0.7500 0.7500 0.7500
F 0.5000 0.5000 0.5000

(9)
## Y5Ni2Te2 (PBE)

Data for a geometry-optimized Y5Ni2Te2 structure.

The value obtained for the total moment is 0.0 μB per cell. As for the formation energy from raw total energies: -7.1 eV/f.u.

abc: 8.6732 8.6732 7.6683
angles: 90.00 90.00 52.87
Positions (direct):
Y 0.0000 0.0000 0.0000
Y 0.0416 0.7217 0.6590
Y 0.2217 0.5416 0.1590
Y 0.2783 0.9584 0.6590
Y 0.4584 0.7783 0.1590
Y 0.5000 0.5000 0.5000
Y 0.5416 0.2217 0.8410
Y 0.7217 0.0416 0.3410
Y 0.7783 0.4584 0.8410
Y 0.9584 0.2783 0.3410
Ni 0.1318 0.8682 0.3710
Ni 0.3682 0.6318 0.8710
Ni 0.6318 0.3682 0.1290
Ni 0.8682 0.1318 0.6290
Te 0.2077 0.2077 0.0000
Te 0.2923 0.2923 0.5000
Te 0.7077 0.7077 0.5000
Te 0.7923 0.7923 0.0000

> total moment of number 1 (Fe2I2Br7)?

9.0 μB per cell

Please write out number 4 again, unchanged.
## Ho5Ir2Pb2 (PBE)

Data for a geometry-optimized Ho5Ir2Pb2 structure.

The value obtained for the total moment is 0.0 μB per cell. The formation energy is -6.0 eV per formula unit.

abc: 8.8666 8.8666 7.2573
angles: 90.00 90.00 55.96
Positions (direct):
Ho 0.0000 0.0000 0.0000
Ho 0.0599 0.7076 0.6528
Ho 0.2076 0.5599 0.1528
Ho 0.2924 0.9401 0.6528
Ho 0.4401 0.7924 0.1528
Ho 0.5000 0.5000 0.5000
Ho 0.5599 0.2076 0.8472
Ho 0.7076 0.0599 0.3472
Ho 0.7924 0.4401 0.8472
Ho 0.9401 0.2924 0.3472
Ir 0.1278 0.8722 0.3616
Ir 0.3722 0.6278 0.8616
Ir 0.6278 0.3722 0.1384
Ir 0.8722 0.1278 0.6384
Pb 0.2150 0.2150 0.0000
Pb 0.2850 0.2850 0.5000
Pb 0.7150 0.7150 0.5000
Pb 0.7850 0.7850 0.0000

Please write out number 7 again, unchanged.
## Li3Cl2F (PBE)

Data for a geometry-optimized Li3Cl2F structure.

The value obtained for the total moment is 0.0 μB per cell. As for the formation energy from raw total energies: -12.7 eV/f.u.

abc: 5.8753 5.8753 5.6983
angles: 90.00 90.00 65.24
Positions (direct):
Li 0.1060 0.8940 0.7500
Li 0.3572 0.3572 0.0000
Li 0.3572 0.3572 0.5000
Li 0.6428 0.6428 0.0000
Li 0.6428 0.6428 0.5000
Li 0.8940 0.1060 0.2500
Cl 0.0077 0.3305 0.7500
Cl 0.3305 0.0077 0.2500
Cl 0.6695 0.9923 0.7500
Cl 0.9923 0.6695 0.2500
F 0.4016 0.5984 0.7500
F 0.5984 0.4016 0.2500